(1)
RbB2Rh: relaxed, PBE.

The calculated volume comes out at 62.5 Å³/f.u. For the magnetic moment, the calculation gives 0.00 μB/f.u. Its density of states at the Fermi level is 1.040 states/eV per atom. The energy above the most stable polymorph in this dataset comes out at 158.91 kJ/mol of atoms. Its calculated density is 5.579 g/cm3. As for the space group: Fm-3m (225).

Cell and atoms, written as extended XYZ:
```
4
Lattice="0.0000 3.1499 3.1499 3.1499 0.0000 3.1499 3.1499 3.1499 0.0000" Properties=species:S:1:pos:R:3 pbc="T T T"
Rb 0.0000 0.0000 0.0000
Rh 3.1499 3.1499 3.1499
B 4.7248 4.7248 4.7248
B 1.5749 1.5749 1.5749
```

=====

(2)
Pr2Nd3Pt2: relaxed, PBE.

The calculated volume comes out at 208.8 Å³/f.u. For the magnetic moment, the calculation gives 0.00 μB/f.u. The value obtained for the total energy is -5.8156 eV/atom. Its density of states at the Fermi level is 1.212 states/eV per atom. Its calculated density is 8.786 g/cm3. As for the space group: C2/m (12).

Cell and atoms, written as extended XYZ:
```
7
Lattice="3.9153 0.0000 0.0000 -1.9576 6.3098 -0.4313 0.0000 -3.4378 8.6863" Properties=species:S:1:pos:R:3 pbc="T T T"
Pr 1.9576 3.6020 1.3453
Pr 0.0000 -0.7299 6.9097
Nd 1.9576 0.0000 0.0000
Nd 1.9576 -0.0308 3.6697
Nd 0.0000 2.9028 4.5853
Pt 0.0000 1.3214 1.9126
Pt 1.9576 1.5507 6.3424
```

=====

(3)
CeThGePt: relaxed, PBE.

The calculated volume comes out at 96.4 Å³/f.u. For the magnetic moment, the calculation gives 0.00 μB/f.u. The value obtained for the total energy is -6.6187 eV/atom. Its density of states at the Fermi level is 1.426 states/eV per atom. Its calculated density is 11.017 g/cm3. As for the space group: P4/nmm (129).

Cell and atoms, written as extended XYZ:
```
8
Lattice="-2.2930 -3.3738 0.9933 1.0818 -1.8049 -3.6331 8.7221 -4.5045 4.8348" Properties=species:S:1:pos:R:3 pbc="T T T"
Ce 4.3610 -2.2522 2.4174
Ce 3.7554 -4.8416 1.0975
Ge 1.0191 -1.1494 -1.5514
Ge 7.0974 -5.9444 5.0664
Pt 5.0714 -4.8981 3.9433
Pt 3.0451 -2.1957 -0.4284
Th 7.4305 -4.4605 2.0025
Th 0.6860 -2.6333 1.5124
```

=====

(4)
TbCe2In3: relaxed, PBE.

The calculated volume comes out at 163.1 Å³/f.u. For the magnetic moment, the calculation gives 2.39 μB/f.u. The value obtained for the total energy is -4.5168 eV/atom. Its density of states at the Fermi level is 2.152 states/eV per atom. Its calculated density is 7.977 g/cm3. As for the space group: P4/mmm (123).

Cell and atoms, written as extended XYZ:
```
6
Lattice="3.4294 0.0000 0.0000 0.0000 3.4294 0.0000 0.0000 0.0000 13.8704" Properties=species:S:1:pos:R:3 pbc="T T T"
Tb 1.7147 1.7147 6.9352
In 0.0000 0.0000 4.6935
In 0.0000 0.0000 9.1769
In 0.0000 0.0000 0.0000
Ce 1.7147 1.7147 2.3536
Ce 1.7147 1.7147 11.5168
```

=====

(5)
TcIrRh2: relaxed, PBE.

The calculated volume comes out at 58.9 Å³/f.u. For the magnetic moment, the calculation gives 0.61 μB/f.u. Its density of states at the Fermi level is 1.659 states/eV per atom. The energy above the most stable polymorph in this dataset comes out at 36.01 kJ/mol of atoms. Its calculated density is 13.976 g/cm3. As for the space group: P4/mmm (123).

Cell and atoms, written as extended XYZ:
```
4
Lattice="3.3036 0.0000 0.0000 0.0000 3.3036 0.0000 0.0000 0.0000 5.4003" Properties=species:S:1:pos:R:3 pbc="T T T"
Ir 1.6518 1.6518 4.0502
Rh 0.0000 0.0000 2.7026
Rh 0.0000 0.0000 5.3979
Tc 1.6518 1.6518 1.3501
```

=====

(6)
NdIn2Pd4: relaxed, PBE.

The calculated volume comes out at 139.4 Å³/f.u. For the magnetic moment, the calculation gives 0.00 μB/f.u. Its density of states at the Fermi level is 0.459 states/eV per atom. The energy above the most stable polymorph in this dataset comes out at 10.07 kJ/mol of atoms. Its calculated density is 9.525 g/cm3. As for the space group: P4_2/mnm (136).

Cell and atoms, written as extended XYZ:
```
14
Lattice="-4.3341 0.4827 -0.9052 1.5236 -0.8011 -7.7221 -0.9998 -7.8241 0.6144" Properties=species:S:1:pos:R:3 pbc="T T T"
In -1.7931 -5.9162 -5.5268
In 0.9838 -2.3033 -5.9389
In -0.4600 -6.3219 -1.1688
In -2.0172 -2.2263 -2.4861
Nd -2.1670 0.2414 -0.4526
Nd 0.2619 -4.3126 -3.5538
Pd -1.2631 -3.5734 -6.8152
Pd -0.2033 -2.8638 -0.5540
Pd -2.4133 -6.7747 -3.0152
Pd 0.0818 -7.5574 -4.4218
Pd 0.4420 -1.0678 -2.6858
Pd 0.7270 -5.7615 -6.5536
Pd -1.3970 -1.3678 -4.9977
Pd -2.5472 -4.5691 -1.1976
```